{"formula": "Pr3Nd3CoTe2", "functional": "PBE", "state": "optimized geometry", "polymorph_energy_mev_per_atom": 13, "cell": [[8.718, 0.000, 0.000], [-4.359, 7.550, 0.000], [0.000, 0.000, 3.975]], "species": ["Pr", "Pr", "Pr", "Nd", "Nd", "Nd", "Co", "Te", "Te"], "frac_coords": [[0.000, 0.237, 0.000], [0.237, 0.000, 0.000], [0.763, 0.763, 0.000], [0.000, 0.588, 0.500], [0.412, 0.412, 0.500], [0.588, 0.000, 0.500], [0.000, 0.000, 0.500], [0.333, 0.667, 0.000], [0.667, 0.333, 0.000]]}

{"formula": "HoMg", "functional": "PBE", "state": "optimized geometry", "e_tot_ev_per_atom": -3.08, "cell": [[6.711, 0.000, 0.000], [0.000, 5.298, 0.000], [-0.007, 0.000, 9.167]], "species": ["Ho", "Ho", "Ho", "Ho", "Ho", "Ho", "Mg", "Mg", "Mg", "Mg", "Mg", "Mg"], "frac_coords": [[0.005, 0.250, 0.411], [0.249, 0.250, 0.752], [0.252, 0.750, 0.248], [0.748, 0.250, 0.752], [0.751, 0.750, 0.248], [0.995, 0.750, 0.589], [0.002, 0.750, 0.927], [0.495, 0.750, 0.578], [0.499, 0.250, 0.089], [0.501, 0.750, 0.911], [0.505, 0.250, 0.422], [0.998, 0.250, 0.073]]}

{"formula": "Cs2AgPbF6", "functional": "PBE", "state": "optimized geometry", "polymorph_energy_mev_per_atom": 56, "cell": [[3.181, 1.836, 10.811], [-3.181, 1.836, 10.811], [0.000, -3.673, 10.811]], "species": ["Cs", "Cs", "Cs", "Cs", "Ag", "Ag", "Pb", "Pb", "F", "F", "F", "F", "F", "F", "F", "F", "F", "F", "F", "F"], "frac_coords": [[0.130, 0.130, 0.130], [0.282, 0.282, 0.282], [0.718, 0.718, 0.718], [0.870, 0.870, 0.870], [0.410, 0.410, 0.410], [0.590, 0.590, 0.590], [0.000, 0.000, 0.000], [0.500, 0.500, 0.500], [0.110, 0.628, 0.628], [0.200, 0.200, 0.715], [0.200, 0.715, 0.200], [0.285, 0.800, 0.800], [0.372, 0.372, 0.890], [0.372, 0.890, 0.372], [0.628, 0.110, 0.628], [0.628, 0.628, 0.110], [0.715, 0.200, 0.200], [0.800, 0.285, 0.800], [0.800, 0.800, 0.285], [0.890, 0.372, 0.372]]}

{"formula": "Dy2HoFe8Ni", "functional": "PBE", "state": "optimized geometry", "e_tot_ev_per_atom": -7.26, "cell": [[2.513, 1.451, 8.134], [-2.513, 1.451, 8.134], [0.000, -2.901, 8.134]], "species": ["Dy", "Dy", "Ho", "Fe", "Fe", "Fe", "Fe", "Fe", "Fe", "Fe", "Fe", "Ni"], "frac_coords": [[0.142, 0.142, 0.142], [0.858, 0.858, 0.858], [0.000, 0.000, 0.000], [0.080, 0.582, 0.582], [0.333, 0.333, 0.333], [0.418, 0.418, 0.920], [0.418, 0.920, 0.418], [0.582, 0.080, 0.582], [0.582, 0.582, 0.080], [0.667, 0.667, 0.667], [0.920, 0.418, 0.418], [0.500, 0.500, 0.500]]}

{"formula": "Tb2ErGe3PdPt2", "functional": "PBE", "state": "optimized geometry", "e_tot_ev_per_atom": -6.02, "cell": [[3.912, 0.000, 0.000], [0.000, 6.255, 3.626], [0.000, -6.255, 3.626]], "species": ["Tb", "Tb", "Er", "Ge", "Ge", "Ge", "Pd", "Pt", "Pt"], "frac_coords": [[0.000, 0.203, 0.797], [0.000, 0.797, 0.203], [0.000, 0.391, 0.391], [0.500, 0.052, 0.052], [0.500, 0.541, 0.795], [0.500, 0.795, 0.541], [0.000, 0.794, 0.794], [0.500, 0.133, 0.462], [0.500, 0.462, 0.133]]}

{"formula": "SrMgZrPd", "functional": "PBE", "state": "optimized geometry", "polymorph_energy_mev_per_atom": 38, "cell": [[0.000, 3.524, 3.524], [3.524, 0.000, 3.524], [3.524, 3.524, 0.000]], "species": ["Sr", "Mg", "Zr", "Pd"], "frac_coords": [[0.000, 0.000, 0.000], [0.750, 0.750, 0.750], [0.250, 0.250, 0.250], [0.500, 0.500, 0.500]]}

{"formula": "PrHoBC2", "functional": "PBE", "state": "optimized geometry", "e_tot_ev_per_atom": -7.22, "cell": [[2.646, -2.646, 0.000], [2.646, 2.646, 0.000], [-2.558, 0.000, 5.510]], "species": ["Pr", "Ho", "B", "C", "C"], "frac_coords": [[0.000, 0.000, 0.000], [0.299, 0.299, 0.586], [0.641, 0.641, 0.278], [0.505, 0.505, 0.009], [0.780, 0.780, 0.549]]}

{"formula": "PrNiB4", "functional": "PBE", "state": "optimized geometry", "polymorph_energy_mev_per_atom": 606, "cell": [[-1.560, 2.666, 4.050], [1.560, -2.666, 4.050], [1.560, 2.666, -4.050]], "species": ["Pr", "Ni", "B", "B", "B", "B"], "frac_coords": [[0.000, 0.000, 0.000], [0.500, 0.500, 0.000], [0.082, 0.751, 0.332], [0.419, 0.751, 0.668], [0.581, 0.249, 0.332], [0.918, 0.249, 0.668]]}

{"formula": "Cu4Ag", "functional": "PBE", "state": "optimized geometry", "polymorph_energy_mev_per_atom": 24, "cell": [[6.476, 0.000, 0.000], [0.000, 2.684, 0.000], [-1.790, 0.000, 7.515]], "species": ["Cu", "Cu", "Cu", "Cu", "Cu", "Cu", "Cu", "Cu", "Ag", "Ag"], "frac_coords": [[0.000, 0.000, 0.000], [0.094, 0.500, 0.306], [0.196, 0.000, 0.591], [0.272, 0.500, 0.882], [0.500, 0.500, 0.500], [0.728, 0.500, 0.118], [0.804, 0.000, 0.409], [0.906, 0.500, 0.694], [0.401, 0.000, 0.192], [0.599, 0.000, 0.808]]}

{"formula": "MgCdNi", "functional": "PBE", "state": "optimized geometry", "polymorph_energy_mev_per_atom": 229, "cell": [[3.524, 0.000, 0.000], [0.000, 3.524, 0.000], [0.000, 0.000, 5.290]], "species": ["Mg", "Cd", "Ni"], "frac_coords": [[0.000, 0.000, 0.000], [0.000, 0.000, 0.500], [0.500, 0.500, 0.500]]}

{"formula": "KTaZnTe3", "functional": "PBE", "state": "optimized geometry", "e_tot_ev_per_atom": -4.30, "cell": [[2.029, -8.094, 0.000], [2.029, 8.094, 0.000], [0.000, 0.000, 10.884]], "species": ["K", "K", "Ta", "Ta", "Zn", "Zn", "Te", "Te", "Te", "Te", "Te", "Te"], "frac_coords": [[0.241, 0.759, 0.750], [0.759, 0.241, 0.250], [0.000, 0.000, 0.000], [0.000, 0.000, 0.500], [0.463, 0.537, 0.250], [0.537, 0.463, 0.750], [0.071, 0.929, 0.250], [0.376, 0.624, 0.044], [0.376, 0.624, 0.456], [0.624, 0.376, 0.544], [0.624, 0.376, 0.956], [0.929, 0.071, 0.750]]}

{"formula": "Nb2Sb", "functional": "PBE", "state": "optimized geometry", "e_tot_ev_per_atom": -5.26, "cell": [[0.000, 6.323, 6.323], [6.323, 0.000, 6.323], [6.323, 6.323, 0.000]], "species": ["Nb", "Nb", "Nb", "Nb", "Sb", "Sb"], "frac_coords": [[0.000, 0.000, 0.000], [0.000, 0.000, 0.500], [0.000, 0.500, 0.000], [0.500, 0.000, 0.000], [0.125, 0.125, 0.125], [0.875, 0.875, 0.875]]}

{"formula": "ScCoBAu", "functional": "PBE", "state": "optimized geometry", "polymorph_energy_mev_per_atom": 0, "cell": [[0.000, 3.047, 3.047], [3.047, 0.000, 3.047], [3.047, 3.047, 0.000]], "species": ["Sc", "Co", "B", "Au"], "frac_coords": [[0.000, 0.000, 0.000], [0.500, 0.500, 0.500], [0.250, 0.250, 0.250], [0.750, 0.750, 0.750]]}

{"formula": "PrNbN2O", "functional": "PBE", "state": "optimized geometry", "e_tot_ev_per_atom": -8.97, "cell": [[5.728, 0.000, 0.000], [0.000, 7.961, 0.000], [0.000, 0.000, 5.761]], "species": ["Pr", "Pr", "Pr", "Pr", "Nb", "Nb", "Nb", "Nb", "N", "N", "N", "N", "N", "N", "N", "N", "O", "O", "O", "O"], "frac_coords": [[0.002, 0.250, 0.017], [0.498, 0.750, 0.517], [0.502, 0.250, 0.483], [0.998, 0.750, 0.983], [0.000, 0.000, 0.500], [0.000, 0.500, 0.500], [0.500, 0.000, 0.000], [0.500, 0.500, 0.000], [0.248, 0.553, 0.752], [0.248, 0.947, 0.752], [0.252, 0.053, 0.252], [0.252, 0.447, 0.252], [0.748, 0.553, 0.748], [0.748, 0.947, 0.748], [0.752, 0.053, 0.248], [0.752, 0.447, 0.248], [0.001, 0.750, 0.402], [0.499, 0.250, 0.902], [0.501, 0.750, 0.098], [0.999, 0.250, 0.598]]}

{"formula": "BaDyZr", "functional": "PBE", "state": "optimized geometry", "polymorph_energy_mev_per_atom": 0, "cell": [[0.000, 3.923, 3.923], [3.923, 0.000, 3.923], [3.923, 3.923, 0.000]], "species": ["Ba", "Dy", "Zr"], "frac_coords": [[0.000, 0.000, 0.000], [0.500, 0.500, 0.500], [0.250, 0.250, 0.250]]}

{"formula": "Nd2Sm2CBr2F3", "functional": "PBE", "state": "optimized geometry", "e_tot_ev_per_atom": -5.83, "cell": [[7.990, -1.842, 0.000], [7.990, 1.842, 0.000], [-1.204, 0.000, 6.927]], "species": ["Nd", "Nd", "Sm", "Sm", "C", "Br", "Br", "F", "F", "F"], "frac_coords": [[0.156, 0.156, 0.122], [0.844, 0.844, 0.878], [0.476, 0.476, 0.231], [0.524, 0.524, 0.769], [0.000, 0.000, 0.000], [0.346, 0.346, 0.556], [0.654, 0.654, 0.444], [0.000, 0.000, 0.500], [0.318, 0.318, 0.099], [0.682, 0.682, 0.901]]}

{"formula": "NaTbNiTe3", "functional": "PBE", "state": "optimized geometry", "polymorph_energy_mev_per_atom": 103, "cell": [[8.689, 0.000, 0.000], [0.000, 4.281, 0.000], [0.000, 0.000, 17.521]], "species": ["Na", "Na", "Na", "Na", "Tb", "Tb", "Tb", "Tb", "Ni", "Ni", "Ni", "Ni", "Te", "Te", "Te", "Te", "Te", "Te", "Te", "Te", "Te", "Te", "Te", "Te"], "frac_coords": [[0.086, 0.250, 0.213], [0.414, 0.750, 0.713], [0.586, 0.250, 0.287], [0.914, 0.750, 0.787], [0.245, 0.750, 0.450], [0.255, 0.250, 0.950], [0.745, 0.750, 0.050], [0.755, 0.250, 0.550], [0.124, 0.250, 0.645], [0.376, 0.750, 0.145], [0.624, 0.250, 0.855], [0.876, 0.750, 0.355], [0.016, 0.750, 0.589], [0.130, 0.750, 0.059], [0.186, 0.250, 0.783], [0.314, 0.750, 0.283], [0.370, 0.250, 0.559], [0.484, 0.250, 0.089], [0.516, 0.750, 0.911], [0.630, 0.750, 0.441], [0.686, 0.250, 0.717], [0.814, 0.750, 0.217], [0.870, 0.250, 0.941], [0.984, 0.250, 0.411]]}

{"formula": "NbAlZnCu", "functional": "PBE", "state": "optimized geometry", "polymorph_energy_mev_per_atom": 0, "cell": [[0.000, 3.100, 3.100], [3.100, 0.000, 3.100], [3.100, 3.100, 0.000]], "species": ["Nb", "Al", "Zn", "Cu"], "frac_coords": [[0.000, 0.000, 0.000], [0.500, 0.500, 0.500], [0.250, 0.250, 0.250], [0.750, 0.750, 0.750]]}

{"formula": "BeCuSn", "functional": "PBE", "state": "optimized geometry", "polymorph_energy_mev_per_atom": 0, "cell": [[0.000, 2.858, 2.858], [2.858, 0.000, 2.858], [2.858, 2.858, 0.000]], "species": ["Be", "Cu", "Sn"], "frac_coords": [[0.000, 0.000, 0.000], [0.750, 0.750, 0.750], [0.250, 0.250, 0.250]]}

{"formula": "RbOsAu3Se4", "functional": "PBE", "state": "optimized geometry", "e_tot_ev_per_atom": -3.96, "cell": [[6.499, 0.000, 0.000], [0.000, 6.499, 0.000], [0.000, 0.000, 6.499]], "species": ["Rb", "Os", "Au", "Au", "Au", "Se", "Se", "Se", "Se"], "frac_coords": [[0.000, 0.000, 0.000], [0.500, 0.500, 0.500], [0.000, 0.500, 0.500], [0.500, 0.000, 0.500], [0.500, 0.500, 0.000], [0.289, 0.289, 0.289], [0.289, 0.711, 0.711], [0.711, 0.289, 0.711], [0.711, 0.711, 0.289]]}

{"formula": "CuSiAu", "functional": "PBE", "state": "optimized geometry", "e_tot_ev_per_atom": -4.13, "cell": [[0.000, 2.900, 2.900], [2.900, 0.000, 2.900], [2.900, 2.900, 0.000]], "species": ["Cu", "Si", "Au"], "frac_coords": [[0.000, 0.000, 0.000], [0.750, 0.750, 0.750], [0.500, 0.500, 0.500]]}

{"formula": "Tb3Ag4Ge4", "functional": "PBE", "state": "optimized geometry", "e_tot_ev_per_atom": -4.51, "cell": [[-2.178, 3.573, 7.280], [2.178, -3.573, 7.280], [2.178, 3.573, -7.280]], "species": ["Tb", "Tb", "Tb", "Ag", "Ag", "Ag", "Ag", "Ge", "Ge", "Ge", "Ge"], "frac_coords": [[0.000, 0.000, 0.000], [0.374, 0.874, 0.500], [0.626, 0.126, 0.500], [0.029, 0.330, 0.698], [0.368, 0.670, 0.698], [0.632, 0.330, 0.302], [0.971, 0.670, 0.302], [0.216, 0.216, 0.000], [0.316, 0.500, 0.816], [0.684, 0.500, 0.184], [0.784, 0.784, 0.000]]}

{"formula": "ZrZnPdAu", "functional": "PBE", "state": "optimized geometry", "polymorph_energy_mev_per_atom": 0, "cell": [[0.000, 3.272, 3.272], [3.272, 0.000, 3.272], [3.272, 3.272, 0.000]], "species": ["Zr", "Zn", "Pd", "Au"], "frac_coords": [[0.000, 0.000, 0.000], [0.500, 0.500, 0.500], [0.250, 0.250, 0.250], [0.750, 0.750, 0.750]]}

{"formula": "YCdBi", "functional": "PBE", "state": "optimized geometry", "polymorph_energy_mev_per_atom": 213, "cell": [[0.000, 3.645, 3.645], [3.645, 0.000, 3.645], [3.645, 3.645, 0.000]], "species": ["Y", "Cd", "Bi"], "frac_coords": [[0.000, 0.000, 0.000], [0.500, 0.500, 0.500], [0.750, 0.750, 0.750]]}